Below is an optimized crystal structure of La2VPbO6, with properties calculated at the PBE+U level.

Values from the calculation:
Total moment in μB/f.u.: 1.0
Space group: P4mm
Fermi-level density of states in states/eV per atom: 0.00
Uncorrected energy in eV per atom: -7.50

a b c (Å): 5.605 5.605 5.498
angles (deg): 90.00 90.00 90.00
Fractional coordinates of all 10 atoms:
La (0.000, 0.500, 0.000)
La (0.500, 0.000, 0.000)
V (0.000, 0.000, 0.626)
Pb (0.500, 0.500, 0.557)
O (0.000, 0.000, 0.306)
O (0.226, 0.226, 0.766)
O (0.226, 0.774, 0.766)
O (0.500, 0.500, 0.131)
O (0.774, 0.226, 0.766)
O (0.774, 0.774, 0.766)